[1]
Density functional theory data (GGA-PBE) for Ti2SnHg2 after structural relaxation.

Cell lengths 7.1226, 7.1226, 4.1877 Å; angles 90.00, 90.00, 90.00 degrees
Last column: nearest neighbours and their distance in Å.
Positions (direct):
Ti: 0.1361 0.3639 0.0000  1 Ti 2.74, 2 Sn 2.77, 6 Hg 2.94-2.97
Ti: 0.3639 0.8639 0.0000  1 Ti 2.74, 2 Sn 2.77, 6 Hg 2.94-2.97
Ti: 0.6361 0.1361 0.0000  1 Ti 2.74, 2 Sn 2.77, 6 Hg 2.94-2.97
Ti: 0.8639 0.6361 0.0000  1 Ti 2.74, 2 Sn 2.77, 6 Hg 2.94-2.97
Sn: 0.0000 0.0000 0.0000  4 Ti 2.77
Sn: 0.5000 0.5000 0.0000  4 Ti 2.77
Hg: 0.1588 0.6588 0.5000  6 Ti 2.94-2.97, 1 Hg 3.20
Hg: 0.3412 0.1588 0.5000  6 Ti 2.94-2.97, 1 Hg 3.20
Hg: 0.6588 0.8412 0.5000  6 Ti 2.94-2.97, 1 Hg 3.20
Hg: 0.8412 0.3412 0.5000  6 Ti 2.94-2.97, 1 Hg 3.20

Properties
- VASP energy: -4.029 eV/atom
- Excess energy over the best structure of this formula in the dataset: 0.0 meV per atom
- Calculated volume: 21.24 Å³ per atom

[2]
Density functional theory data (GGA-PBE) for KAlAs2I after structural relaxation.

Cell lengths 5.5950, 5.5950, 5.7802 Å; angles 90.00, 90.00, 90.00 degrees
Last column: nearest neighbours and their distance in Å.
Positions (direct):
K: 0.0000 0.0000 0.0000  4 Al 3.96, 8 As 4.02
Al: 0.5000 0.5000 0.0000  2 I 2.89
As: 0.0000 0.5000 0.5000  2 I 2.80
As: 0.5000 0.0000 0.5000  2 I 2.80
I: 0.5000 0.5000 0.5000  4 As 2.80, 2 Al 2.89

Properties
- VASP energy: -2.496 eV/atom
- E_form (uncorrected): 0.64 eV per atom
- Calculated volume: 36.19 Å³ per atom

[3]
Density functional theory data (GGA-PBE) for TeRuSeI2 after structural relaxation.

Cell lengths 5.3911, 5.3911, 5.0927 Å; angles 90.00, 90.00, 90.00 degrees
Last column: nearest neighbours and their distance in Å.
Positions (direct):
Te: 0.0000 0.0000 0.0000  2 Ru 2.55
Ru: 0.0000 0.0000 0.5000  2 Te 2.55, 4 I 2.70
Se: 0.5000 0.5000 0.0000  8 I 3.71, 4 Te 3.81
I: 0.0000 0.5000 0.5000  2 Ru 2.70
I: 0.5000 0.0000 0.5000  2 Ru 2.70

Properties
- VASP energy: -3.225 eV/atom
- E_form (uncorrected): 0.58 eV per atom
- Excess energy over the best structure of this formula in the dataset: 0.0 meV per atom
- Calculated volume: 29.60 Å³ per atom

[4]
Density functional theory data (GGA-PBE) for ZrTl4Au after structural relaxation.

Cell lengths 6.1336, 6.1336, 6.1336 Å; angles 60.00, 60.00, 60.00 degrees
Last column: nearest neighbours and their distance in Å.
Positions (direct):
Zr: 0.0000 0.0000 0.0000  12 Tl 3.60, 4 Au 3.76
Tl: 0.3751 0.3751 0.3751  6 Tl 3.07
Tl: 0.3751 0.3751 0.8748  6 Tl 3.07
Tl: 0.3751 0.8748 0.3751  6 Tl 3.07
Tl: 0.8748 0.3751 0.3751  6 Tl 3.07
Au: 0.7500 0.7500 0.7500  12 Tl 3.60, 4 Zr 3.76

Properties
- VASP energy: -3.017 eV/atom
- Calculated volume: 27.19 Å³ per atom

[5]
Density functional theory data (GGA-PBE) for SrFeI after structural relaxation.

Cell lengths 6.1990, 6.1990, 7.8475 Å; angles 91.90, 91.90, 39.37 degrees
Last column: nearest neighbours and their distance in Å.
Positions (direct):
Sr: 0.1447 0.1447 0.3064  5 Fe 3.23-3.41, 4 I 3.44-3.61
Sr: 0.8553 0.8553 0.6936  5 Fe 3.23-3.41, 4 I 3.44-3.61
Fe: 0.4318 0.4318 0.4054  1 Fe 2.14
Fe: 0.5682 0.5682 0.5946  1 Fe 2.14
I: 0.1348 0.1348 0.8463  2 Fe 2.96
I: 0.8652 0.8652 0.1537  2 Fe 2.96

Properties
- VASP energy: -4.071 eV/atom
- E_form (uncorrected): -0.17 eV per atom
- Calculated volume: 31.86 Å³ per atom

[6]
Density functional theory data (GGA-PBE) for LaZrW2 after structural relaxation.

Cell lengths 3.7068, 3.7068, 6.7825 Å; angles 90.00, 90.00, 90.00 degrees
Last column: nearest neighbours and their distance in Å.
Positions (direct):
La: 0.0000 0.0000 0.0000  2 Zr 3.39, 8 W 3.39, 4 La 3.71
Zr: 0.0000 0.0000 0.5000  8 W 2.90
W: 0.5000 0.5000 0.3175  1 W 2.48
W: 0.5000 0.5000 0.6825  1 W 2.48

Properties
- VASP energy: -9.292 eV/atom
- Excess energy over the best structure of this formula in the dataset: 304.5 meV per atom
- Calculated volume: 23.30 Å³ per atom

[7]
Density functional theory data (GGA-PBE) for LaYSe after structural relaxation.

Cell lengths 4.0233, 6.9953, 7.0136 Å; angles 98.75, 90.02, 106.67 degrees
Last column: nearest neighbours and their distance in Å.
Positions (direct):
La: 0.1144 0.2279 0.3693  3 Se 2.99-3.00
La: 0.8856 0.7721 0.6307  3 Se 2.99-3.00
Y: 0.3809 0.7623 0.1154  3 Se 2.85-2.86
Y: 0.6191 0.2377 0.8846  3 Se 2.85-2.86
Se: 0.2451 0.4903 0.7586  3 Y 2.85-2.86, 3 La 2.99-3.00
Se: 0.7549 0.5097 0.2414  3 Y 2.85-2.86, 3 La 2.99-3.00

Properties
- VASP energy: -6.100 eV/atom
- E_form (uncorrected): -1.14 eV per atom
- Excess energy over the best structure of this formula in the dataset: 0.0 meV per atom
- Calculated volume: 31.12 Å³ per atom

[8]
Density functional theory data (GGA-PBE) for Y2TaAl after structural relaxation.

Cell lengths 3.1519, 3.1519, 9.4488 Å; angles 90.00, 90.00, 90.00 degrees
Last column: nearest neighbours and their distance in Å.
Positions (direct):
Y: 0.0000 0.0000 0.2499  4 Y 3.15, 4 Ta 3.25, 4 Al 3.25
Y: 0.0000 0.0000 0.7501  4 Y 3.15, 4 Ta 3.25, 4 Al 3.25
Ta: 0.5000 0.5000 0.0000  4 Ta 3.15, 8 Y 3.25
Al: 0.5000 0.5000 0.5000  4 Al 3.15, 8 Y 3.25

Properties
- VASP energy: -7.068 eV/atom
- Calculated volume: 23.47 Å³ per atom